No. 1
Here is crystalline SmSi at its relaxed geometry from Alexandria. Energies are from PBE.

DOS at the Fermi energy = 7.9 states/eV/cell
density = 6.4 g/cm3
energy = -5.82 eV per atom
formation energy from raw total energies = -0.75 eV per atom

Lattice parameters (Å, degrees): 4.127 4.127 11.306 100.52 100.52 90.00
Fractional positions:
Si  0.589  0.089  0.178
Sm  0.054  0.554  0.108
Sm  0.304  0.304  0.608
Si  0.839  0.839  0.678
Sm  0.446  0.946  0.892
Si  0.911  0.411  0.822
Si  0.161  0.161  0.322
Sm  0.696  0.696  0.392

No. 2
Here is crystalline RbNaWCl6 at its relaxed geometry from Alexandria. Energies are from PBE.

DOS at the Fermi energy = 19.8 states/eV/cell
density = 2.8 g/cm3
energy = -4.22 eV per atom
formation energy from raw total energies = -1.29 eV per atom

Lattice parameters (Å, degrees): 6.978 6.978 13.987 90.00 90.00 120.00
Last column: magnetic moment on the atom in μB.
Fractional positions:
Cl  0.953  0.607  0.350  0.01
Cl  0.654  0.047  0.350  0.01
Cl  0.654  0.607  0.150  0.01
Cl  0.953  0.346  0.150  0.01
W  0.667  0.333  0.250  1.51
Cl  0.047  0.654  0.850  0.01
Rb  0.000  0.000  0.500  0.00
Cl  0.607  0.654  0.650  0.01
Na  0.333  0.667  0.250  0.00
Cl  0.047  0.393  0.650  0.01
Cl  0.393  0.047  0.150  0.01
Cl  0.346  0.953  0.650  0.01
Na  0.667  0.333  0.750  0.00
Rb  0.000  0.000  0.000  0.00
W  0.333  0.667  0.750  1.51
Cl  0.346  0.393  0.850  0.01
Cl  0.393  0.346  0.350  0.01
Cl  0.607  0.953  0.850  0.01

No. 3
Here is crystalline RbLaZnS at its relaxed geometry from Alexandria. Energies are from PBE.

polymorph energy (0 for the lowest one) = 0 meV/atom
DOS at the Fermi energy = 2.3 states/eV/cell
density = 3.9 g/cm3
energy = -3.65 eV per atom
formation energy from raw total energies = -0.83 eV per atom

Lattice parameters (Å, degrees): 4.294 4.294 25.775 90.00 90.00 120.00
Fractional positions:
Rb  0.667  0.333  0.178
Rb  0.000  0.000  0.844
S  0.000  0.000  0.601
S  0.667  0.333  0.934
Zn  0.333  0.667  0.734
S  0.333  0.667  0.268
Zn  0.667  0.333  0.400
Rb  0.333  0.667  0.511
La  0.333  0.667  0.992
La  0.667  0.333  0.658
Zn  0.000  0.000  0.067
La  0.000  0.000  0.325

No. 4
Here is crystalline Cu2AgPb at its relaxed geometry from Alexandria. Energies are from PBE.

DOS at the Fermi energy = 1.7 states/eV/cell
density = 10.3 g/cm3
energy = -3.40 eV per atom
ΔH_f (0 K) = 0.29 eV/atom

Lattice parameters (Å, degrees): 4.649 4.649 4.649 60.00 60.00 60.00
Fractional positions:
Ag  0.500  0.500  0.500
Pb  0.750  0.750  0.750
Cu  0.250  0.250  0.250
Cu  0.000  0.000  0.000

No. 5
Here is crystalline GePdO2 at its relaxed geometry from Alexandria. Energies are from PBE.

DOS at the Fermi energy = 3.2 states/eV/cell
density = 6.5 g/cm3
energy = -5.24 eV per atom
formation energy from raw total energies = -0.31 eV per atom

Lattice parameters (Å, degrees): 6.515 6.515 6.515 27.93 27.93 27.93
Fractional positions:
O  0.891  0.891  0.891
Ge  0.000  0.000  0.000
Pd  0.500  0.500  0.500
O  0.109  0.109  0.109

No. 6
Here is crystalline HoTmNiSn at its relaxed geometry from Alexandria. Energies are from PBE.

DOS at the Fermi energy = 1.5 states/eV/cell
density = 9.3 g/cm3
energy = -5.16 eV per atom
ΔH_f (0 K) = -0.45 eV/atom

Lattice parameters (Å, degrees): 5.046 5.046 5.046 60.00 60.00 60.00
Fractional positions:
Sn  0.250  0.250  0.250
Tm  0.000  0.000  0.000
Ho  0.500  0.500  0.500
Ni  0.750  0.750  0.750